w) Entry from Alexandria via LeMat-Bulk: a geometry-optimized Sn3PtC structure (GGA-PBE).

a b c (Å): 4.6722 4.6722 4.6722
angles (deg): 90.00 90.00 90.00
Last column: nearest neighbours and their distance in Å.
Atoms (fractional coordinates):
Sn1 0.0000 0.0000 0.5000  2 C 2.34
Sn2 0.0000 0.5000 0.0000  2 C 2.34
Sn3 0.5000 0.0000 0.0000  2 C 2.34
Pt1 0.5000 0.5000 0.5000  12 Sn 3.30
C1 0.0000 0.0000 0.0000  6 Sn 2.34

Properties
DOS at the Fermi energy (states/eV per cell): 1.9
Total magnetic moment (μB per atom): 0.000
SG: No. 221

---

x) Entry from Alexandria via LeMat-Bulk: a geometry-optimized Sn3PtC structure (GGA-PBE).

a b c (Å): 5.2082 5.2082 5.2082
angles (deg): 90.00 90.00 90.00
Last column: nearest neighbours and their distance in Å.
Atoms (fractional coordinates):
Sn1 0.0000 0.0000 0.5000  2 Pt 2.60
Sn2 0.0000 0.5000 0.0000  2 Pt 2.60
Sn3 0.5000 0.0000 0.0000  2 Pt 2.60
Pt1 0.0000 0.0000 0.0000  6 Sn 2.60
C1 0.5000 0.5000 0.5000  12 Sn 3.68

Properties
DOS at the Fermi energy (states/eV per cell): 3.3
Total magnetic moment (μB per atom): 0.194
SG: No. 221

---

Which structure is the most stable? The one labeled w).

---

w) Entry from Alexandria via LeMat-Bulk: a geometry-optimized TaPtC2 structure (GGA-PBE).

a b c (Å): 5.9264 5.9264 5.9264
angles (deg): 132.82 132.82 68.94
Last column: nearest neighbours and their distance in Å.
Atoms (fractional coordinates):
Ta1 0.0000 0.0000 0.0000  4 C 2.08
Ta2 0.7500 0.2500 0.5000  4 C 2.08
Pt1 0.2500 0.7500 0.5000  4 C 2.07
Pt2 0.5000 0.5000 0.0000  4 C 2.07
C1 0.1276 0.6250 0.0026  2 Pt 2.07, 2 Ta 2.08
C2 0.3750 0.3776 0.5026  2 Pt 2.07, 2 Ta 2.08
C3 0.6224 0.1250 0.9974  2 Pt 2.07, 2 Ta 2.08
C4 0.8750 0.8724 0.4974  2 Pt 2.07, 2 Ta 2.08

Properties
DOS at the Fermi energy (states/eV per cell): 3.7
Total magnetic moment (μB per atom): 0.000
SG: No. 122

---

x) Entry from Alexandria via LeMat-Bulk: a geometry-optimized TaPtC2 structure (GGA-PBE).

a b c (Å): 3.9586 3.9586 3.9586
angles (deg): 60.00 60.00 60.00
Last column: nearest neighbours and their distance in Å.
Atoms (fractional coordinates):
Ta1 0.0000 0.0000 0.0000  8 C 2.42
Pt1 0.5000 0.5000 0.5000  8 C 2.42
C1 0.2500 0.2500 0.2500  4 Ta 2.42, 4 Pt 2.42
C2 0.7500 0.7500 0.7500  4 Ta 2.42, 4 Pt 2.42

Properties
DOS at the Fermi energy (states/eV per cell): 2.8
Total magnetic moment (μB per atom): 0.000
SG: No. 225

---

Which structure is the most stable? The one labeled w).

---

w) Entry from Alexandria via LeMat-Bulk: a geometry-optimized TcPtC3 structure (GGA-PBE).

a b c (Å): 4.0026 4.0026 4.0026
angles (deg): 90.00 90.00 90.00
Last column: nearest neighbours and their distance in Å.
Atoms (fractional coordinates):
Tc1 0.0000 0.0000 0.0000  6 C 2.00
Pt1 0.5000 0.5000 0.5000  12 C 2.83
C1 0.0000 0.0000 0.5000  2 Tc 2.00
C2 0.0000 0.5000 0.0000  2 Tc 2.00
C3 0.5000 0.0000 0.0000  2 Tc 2.00

Properties
DOS at the Fermi energy (states/eV per cell): 3.1
Total magnetic moment (μB per atom): 0.000
SG: No. 221

---

x) Entry from Alexandria via LeMat-Bulk: a geometry-optimized TcPtC3 structure (GGA-PBE).

a b c (Å): 3.9461 3.9461 3.9461
angles (deg): 90.00 90.00 90.00
Last column: nearest neighbours and their distance in Å.
Atoms (fractional coordinates):
Tc1 0.0000 0.0000 0.0000  12 C 2.79
Pt1 0.5000 0.5000 0.5000  6 C 1.97
C1 0.0000 0.5000 0.5000  2 Pt 1.97
C2 0.5000 0.0000 0.5000  2 Pt 1.97
C3 0.5000 0.5000 0.0000  2 Pt 1.97

Properties
DOS at the Fermi energy (states/eV per cell): 4.6
Total magnetic moment (μB per atom): 0.000
SG: No. 221

---

Which structure is the most stable? The one labeled w).

---

w) Entry from Alexandria via LeMat-Bulk: a geometry-optimized V2TcPtC structure (GGA-PBE).

a b c (Å): 4.5985 4.5985 3.8507
angles (deg): 90.00 90.00 90.00
Last column: nearest neighbours and their distance in Å.
Atoms (fractional coordinates):
V1 0.0000 0.5000 0.0000  2 Tc 2.30
V2 0.5000 0.0000 0.0000  2 Tc 2.30
Tc1 0.0000 0.0000 0.0000  2 C 1.93
Pt1 0.5000 0.5000 0.5000  8 V 3.00, 4 C 3.25
C1 0.0000 0.0000 0.5000  2 Tc 1.93

Properties
DOS at the Fermi energy (states/eV per cell): 6.9
Total magnetic moment (μB per atom): 0.001
SG: No. 123

---

x) Entry from Alexandria via LeMat-Bulk: a geometry-optimized V2TcPtC structure (GGA-PBE).

a b c (Å): 4.0028 4.0028 3.9903
angles (deg): 90.00 90.00 90.00
Last column: nearest neighbours and their distance in Å.
Atoms (fractional coordinates):
V1 0.0000 0.5000 0.0000  2 C 2.00
V2 0.5000 0.0000 0.0000  2 C 2.00
Tc1 0.0000 0.0000 0.5000  2 C 2.00
Pt1 0.5000 0.5000 0.5000  8 V 2.83, 4 Tc 2.83
C1 0.0000 0.0000 0.0000  2 Tc 2.00, 4 V 2.00

Properties
DOS at the Fermi energy (states/eV per cell): 3.7
Total magnetic moment (μB per atom): 0.000
SG: No. 123

---

Which structure is the most stable? The one labeled x).

---

w) Entry from Alexandria via LeMat-Bulk: a geometry-optimized TePt3C structure (GGA-PBE).

a b c (Å): 4.3132 4.3132 4.3132
angles (deg): 90.00 90.00 90.00
Last column: nearest neighbours and their distance in Å.
Atoms (fractional coordinates):
Te1 0.0000 0.0000 0.0000  12 Pt 3.05
Pt1 0.0000 0.5000 0.5000  2 C 2.16
Pt2 0.5000 0.0000 0.5000  2 C 2.16
Pt3 0.5000 0.5000 0.0000  2 C 2.16
C1 0.5000 0.5000 0.5000  6 Pt 2.16

Properties
DOS at the Fermi energy (states/eV per cell): 2.2
Total magnetic moment (μB per atom): 0.000
SG: No. 221

---

x) Entry from Alexandria via LeMat-Bulk: a geometry-optimized TePt3C structure (GGA-PBE).

a b c (Å): 4.9644 4.9644 4.9644
angles (deg): 90.00 90.00 90.00
Last column: nearest neighbours and their distance in Å.
Atoms (fractional coordinates):
Te1 0.0000 0.0000 0.0000  6 Pt 2.48
Pt1 0.0000 0.0000 0.5000  2 Te 2.48
Pt2 0.0000 0.5000 0.0000  2 Te 2.48
Pt3 0.5000 0.0000 0.0000  2 Te 2.48
C1 0.5000 0.5000 0.5000  12 Pt 3.51

Properties
DOS at the Fermi energy (states/eV per cell): 5.6
Total magnetic moment (μB per atom): 0.132
SG: No. 221

---

Which structure is the most stable? The one labeled w).

---

w) Entry from Alexandria via LeMat-Bulk: a geometry-optimized Th2PtC structure (GGA-PBE).

a b c (Å): 5.8703 5.9303 11.9108
angles (deg): 90.00 116.06 90.00
Last column: nearest neighbours and their distance in Å.
Atoms (fractional coordinates):
Th1 0.0808 0.2505 0.0994  2 C 2.47-2.48
Th2 0.0808 0.7495 0.5994  2 C 2.47-2.48
Th3 0.3344 0.2067 0.8514  2 C 2.47-2.49
Th4 0.3344 0.7933 0.3514  2 C 2.47-2.49
Th5 0.6656 0.2067 0.6486  2 C 2.47-2.49
Th6 0.6656 0.7933 0.1486  2 C 2.47-2.49
Th7 0.9192 0.2505 0.4006  2 C 2.47-2.48
Th8 0.9192 0.7495 0.9006  2 C 2.47-2.48
Pt1 0.3961 0.2932 0.3742  6 Th 2.96-2.99
Pt2 0.3961 0.7068 0.8742  6 Th 2.96-2.99
Pt3 0.6039 0.2932 0.1258  6 Th 2.96-2.99
Pt4 0.6039 0.7068 0.6258  6 Th 2.96-2.99
C1 0.0632 0.1614 0.6249  4 Th 2.47-2.49
C2 0.0632 0.8386 0.1249  4 Th 2.47-2.49
C3 0.9368 0.1614 0.8751  4 Th 2.47-2.49
C4 0.9368 0.8386 0.3751  4 Th 2.47-2.49

Properties
DOS at the Fermi energy (states/eV per cell): 12.4
Total magnetic moment (μB per atom): 0.000
SG: No. 13

---

x) Entry from Alexandria via LeMat-Bulk: a geometry-optimized Th2PtC structure (GGA-PBE).

a b c (Å): 7.4399 7.4399 7.4399
angles (deg): 29.57 29.57 29.57
Last column: nearest neighbours and their distance in Å.
Atoms (fractional coordinates):
Th1 0.0000 0.0000 0.0000  3 C 2.63
Th2 0.1480 0.1480 0.1480  3 C 2.77, 3 Pt 2.95
Pt1 0.5739 0.5739 0.5739  6 Th 2.95
C1 0.4017 0.4017 0.4017  6 Th 2.63-2.77

Properties
DOS at the Fermi energy (states/eV per cell): 2.8
Total magnetic moment (μB per atom): 0.000
SG: No. 160

---

y) Entry from Alexandria via LeMat-Bulk: a geometry-optimized Th2PtC structure (GGA-PBE).

a b c (Å): 7.4258 7.4258 7.4258
angles (deg): 29.60 29.60 29.60
Last column: nearest neighbours and their distance in Å.
Atoms (fractional coordinates):
Th1 0.2368 0.2368 0.2368  3 C 2.65
Th2 0.7632 0.7632 0.7632  3 C 2.65
Pt1 0.0000 0.0000 0.0000  6 Th 3.00
C1 0.5000 0.5000 0.5000  6 Th 2.65

Properties
DOS at the Fermi energy (states/eV per cell): 3.0
Total magnetic moment (μB per atom): 0.000
SG: No. 166

---

Which structure is the most stable? The one labeled y).